1.
Computed, not measured: a geometry-optimized AlBi2Pd structure at the PBE-GGA level of DFT.

Computed properties:
Its density of states at the Fermi level is 2.4 states/eV/cell. For the formation energy, the calculation gives 0.30 eV/atom. As for the crystal system: trigonal. The calculated volume comes out at 25.36 A^3/atom.

Geometry as POSCAR:
```
AlBi2Pd
1.0
1.6661 0.9619 10.5507
-1.6661 0.9619 10.5507
0.0000 -1.9239 10.5507
Al Bi Pd
1 2 1
direct
0.0000 0.0000 0.0000
0.4140 0.4140 0.4140
0.5860 0.5860 0.5860
0.5000 0.5000 0.5000
```

***

2.
Computed, not measured: a geometry-optimized AlBi2Pd structure at the PBE-GGA level of DFT.

Computed properties:
Its density of states at the Fermi level is 3.6 states/eV/cell. For the formation energy, the calculation gives 0.13 eV/atom. As for the crystal system: tetragonal. The calculated volume comes out at 26.54 A^3/atom.

Geometry as POSCAR:
```
AlBi2Pd
1.0
-2.3899 2.3899 9.2948
2.3899 -2.3899 9.2948
2.3899 2.3899 -9.2948
Al Bi Pd
2 4 2
direct
0.0000 0.0000 0.0000
0.7500 0.2500 0.5000
0.1448 0.6250 0.0198
0.3750 0.3948 0.5198
0.6052 0.1250 0.9802
0.8750 0.8552 0.4802
0.2500 0.7500 0.5000
0.5000 0.5000 0.0000
```

***

3.
Computed, not measured: a geometry-optimized Al3BiPd structure at the PBE-GGA level of DFT.

Computed properties:
Its density of states at the Fermi level is 2.8 states/eV/cell. For the formation energy, the calculation gives -0.02 eV/atom. As for the crystal system: cubic. The calculated volume comes out at 22.52 A^3/atom.

Geometry as POSCAR:
```
Al3BiPd
1.0
4.8287 0.0000 0.0000
0.0000 4.8287 0.0000
0.0000 0.0000 4.8287
Al Bi Pd
3 1 1
direct
0.0000 0.0000 0.5000
0.0000 0.5000 0.0000
0.5000 0.0000 0.0000
0.5000 0.5000 0.5000
0.0000 0.0000 0.0000
```

***

4.
Computed, not measured: a geometry-optimized AlBi2Pd2 structure at the PBE-GGA level of DFT.

Computed properties:
Its density of states at the Fermi level is 5.6 states/eV/cell. For the formation energy, the calculation gives -0.23 eV/atom. As for the crystal system: tetragonal. The calculated volume comes out at 21.69 A^3/atom.

Geometry as POSCAR:
```
AlBi2Pd2
1.0
6.7802 0.0000 0.0000
0.0000 6.7802 0.0000
0.0000 0.0000 4.7175
Al Bi Pd
2 4 4
direct
0.0000 0.0000 0.0000
0.5000 0.5000 0.0000
0.1716 0.3284 0.5000
0.3284 0.8284 0.5000
0.6716 0.1716 0.5000
0.8284 0.6716 0.5000
0.1490 0.6490 0.0000
0.3510 0.1490 0.0000
0.6490 0.8510 0.0000
0.8510 0.3510 0.0000
```

***

5.
Computed, not measured: a geometry-optimized AlBi4Pd15 structure at the PBE-GGA level of DFT.

Computed properties:
Its density of states at the Fermi level is 10.0 states/eV/cell. For the formation energy, the calculation gives -0.32 eV/atom. As for the crystal system: tetragonal. The calculated volume comes out at 17.18 A^3/atom.

Geometry as POSCAR:
```
AlBi4Pd15
1.0
4.1060 0.0000 0.0000
0.0000 4.1060 0.0000
0.0000 0.0000 20.3816
Al Bi Pd
1 4 15
direct
0.0000 0.0000 0.0000
0.0000 0.0000 0.1893
0.0000 0.0000 0.3968
0.0000 0.0000 0.6032
0.0000 0.0000 0.8107
0.0000 0.5000 0.0888
0.0000 0.5000 0.2953
0.0000 0.5000 0.5000
0.0000 0.5000 0.7047
0.0000 0.5000 0.9112
0.5000 0.0000 0.0888
0.5000 0.0000 0.2953
0.5000 0.0000 0.5000
0.5000 0.0000 0.7047
0.5000 0.0000 0.9112
0.5000 0.5000 0.0000
0.5000 0.5000 0.1945
0.5000 0.5000 0.3978
0.5000 0.5000 0.6022
0.5000 0.5000 0.8055
```

***

6.
Computed, not measured: a geometry-optimized Al2BiPd8 structure at the PBE-GGA level of DFT.

Computed properties:
Its density of states at the Fermi level is 4.7 states/eV/cell. For the formation energy, the calculation gives -0.47 eV/atom. As for the crystal system: monoclinic. The calculated volume comes out at 16.39 A^3/atom.

Geometry as POSCAR:
```
Al2BiPd8
1.0
3.7602 -6.5487 0.0000
3.7602 6.5487 0.0000
-2.4449 0.0000 3.6613
Al Bi Pd
2 1 8
direct
0.1626 0.8374 0.0000
0.8374 0.1626 0.0000
0.5278 0.5278 0.0416
0.0059 0.5991 0.3041
0.0907 0.4180 0.7624
0.2165 0.2165 0.2624
0.4180 0.0907 0.7624
0.4510 0.7145 0.5917
0.5991 0.0059 0.3041
0.7145 0.4510 0.5917
0.9537 0.9537 0.5263
```

***

Number 1: electronic total energy -3.88 eV per atom. Number 2: electronic total energy -4.04 eV per atom. Number 3: electronic total energy -4.08 eV per atom. Number 4: electronic total energy -4.61 eV per atom. Number 5: electronic total energy -5.17 eV per atom. Number 6: electronic total energy -5.28 eV per atom.